## TaTlTe2 (PBE)

Data for a relaxed structure of TaTlTe2.

Unit cell a=7.623 b=7.623 c=7.623 alpha=154.65 beta=138.28 gamma=49.45
Atoms (fractional coordinates):
Ta1 0.250 0.750 0.500
Te1 0.089 0.089 0.000
Te2 0.411 0.411 0.000
Tl1 0.750 0.250 0.500

Calculated values
**Energy relative to the elements, uncorrected**: 0.089 eV/atom
**ρ**: 8.46 Mg/m³